KCaLa2 | PBE | relaxed

Cell and atoms, written as CIF:
```
data_KCaLa2
_cell_length_a 6.719
_cell_length_b 6.719
_cell_length_c 6.719
_cell_angle_alpha 130.28
_cell_angle_beta 130.28
_cell_angle_gamma 72.96
_symmetry_space_group_name_H-M 'P 1'
_symmetry_Int_Tables_number 1
loop_
_symmetry_equiv_pos_as_xyz
'x,y,z'
loop_
_atom_site_label
_atom_site_type_symbol
_atom_site_fract_x
_atom_site_fract_y
_atom_site_fract_z
K1 K 0.000 0.000 0.000
Ca1 Ca 0.750 0.250 0.500
La1 La 0.250 0.750 0.500
La2 La 0.500 0.500 0.000
```

Properties
DOS(E_F)   7.6 states/eV/cell
Offset from the most stable computed form   0.281 eV/atom
SG   No. 119
Total magnetic moment   0.30 μB per atom

---

KCaLa | PBE | relaxed

Cell and atoms, written as CIF:
```
data_KCaLa
_cell_length_a 7.059
_cell_length_b 7.059
_cell_length_c 7.059
_cell_angle_alpha 149.77
_cell_angle_beta 127.97
_cell_angle_gamma 61.37
_symmetry_space_group_name_H-M 'P 1'
_symmetry_Int_Tables_number 1
loop_
_symmetry_equiv_pos_as_xyz
'x,y,z'
loop_
_atom_site_label
_atom_site_type_symbol
_atom_site_fract_x
_atom_site_fract_y
_atom_site_fract_z
K1 K 0.000 0.000 0.000
Ca1 Ca 0.322 0.322 0.000
La1 La 0.674 0.674 0.000
```

Properties
DOS(E_F)   3.9 states/eV/cell
Offset from the most stable computed form   0.160 eV/atom
SG   No. 44
Total magnetic moment   0.00 μB per atom

---

KCa4La | PBE | relaxed

Cell and atoms, written as CIF:
```
data_KCa4La
_cell_length_a 7.325
_cell_length_b 7.325
_cell_length_c 7.325
_cell_angle_alpha 60.00
_cell_angle_beta 60.00
_cell_angle_gamma 60.00
_symmetry_space_group_name_H-M 'P 1'
_symmetry_Int_Tables_number 1
loop_
_symmetry_equiv_pos_as_xyz
'x,y,z'
loop_
_atom_site_label
_atom_site_type_symbol
_atom_site_fract_x
_atom_site_fract_y
_atom_site_fract_z
K1 K 0.000 0.000 0.000
Ca1 Ca 0.377 0.377 0.377
Ca2 Ca 0.377 0.377 0.870
Ca3 Ca 0.377 0.870 0.377
Ca4 Ca 0.870 0.377 0.377
La1 La 0.750 0.750 0.750
```

Properties
Uncorrected energy   -2.077 eV per atom
DOS(E_F)   10.7 states/eV/cell
SG   No. 216
Total magnetic moment   0.19 μB per atom

---

KCaLa3 | PBE | relaxed

Cell and atoms, written as CIF:
```
data_KCaLa3
_cell_length_a 5.934
_cell_length_b 5.934
_cell_length_c 5.934
_cell_angle_alpha 90.00
_cell_angle_beta 90.00
_cell_angle_gamma 90.00
_symmetry_space_group_name_H-M 'P 1'
_symmetry_Int_Tables_number 1
loop_
_symmetry_equiv_pos_as_xyz
'x,y,z'
loop_
_atom_site_label
_atom_site_type_symbol
_atom_site_fract_x
_atom_site_fract_y
_atom_site_fract_z
K1 K 0.000 0.000 0.000
Ca1 Ca 0.500 0.500 0.500
La1 La 0.000 0.000 0.500
La2 La 0.000 0.500 0.000
La3 La 0.500 0.000 0.000
```

Properties
DOS(E_F)   5.8 states/eV/cell
Offset from the most stable computed form   0.120 eV/atom
SG   No. 221
Total magnetic moment   0.00 μB per atom

---

K2CaLa | PBE | relaxed

Cell and atoms, written as CIF:
```
data_K2CaLa
_cell_length_a 3.946
_cell_length_b 6.783
_cell_length_c 7.358
_cell_angle_alpha 90.00
_cell_angle_beta 90.00
_cell_angle_gamma 90.00
_symmetry_space_group_name_H-M 'P 1'
_symmetry_Int_Tables_number 1
loop_
_symmetry_equiv_pos_as_xyz
'x,y,z'
loop_
_atom_site_label
_atom_site_type_symbol
_atom_site_fract_x
_atom_site_fract_y
_atom_site_fract_z
K1 K 0.000 0.000 0.000
K2 K 0.500 0.500 0.000
Ca1 Ca 0.000 0.500 0.500
La1 La 0.500 0.000 0.500
```

Properties
DOS(E_F)   4.8 states/eV/cell
Offset from the most stable computed form   0.140 eV/atom
SG   No. 47
Total magnetic moment   0.00 μB per atom

---

KCaLa2 | PBE | relaxed

Cell and atoms, written as CIF:
```
data_KCaLa2
_cell_length_a 4.091
_cell_length_b 4.091
_cell_length_c 10.844
_cell_angle_alpha 90.00
_cell_angle_beta 90.00
_cell_angle_gamma 90.00
_symmetry_space_group_name_H-M 'P 1'
_symmetry_Int_Tables_number 1
loop_
_symmetry_equiv_pos_as_xyz
'x,y,z'
loop_
_atom_site_label
_atom_site_type_symbol
_atom_site_fract_x
_atom_site_fract_y
_atom_site_fract_z
K1 K 0.000 0.000 0.000
Ca1 Ca 0.000 0.000 0.500
La1 La 0.500 0.500 0.301
La2 La 0.500 0.500 0.699
```

Properties
DOS(E_F)   6.7 states/eV/cell
Offset from the most stable computed form   0.181 eV/atom
SG   No. 123
Total magnetic moment   0.00 μB per atom

---

K2CaLa | PBE | relaxed

Cell and atoms, written as CIF:
```
data_K2CaLa
_cell_length_a 6.597
_cell_length_b 6.597
_cell_length_c 6.597
_cell_angle_alpha 60.00
_cell_angle_beta 60.00
_cell_angle_gamma 60.00
_symmetry_space_group_name_H-M 'P 1'
_symmetry_Int_Tables_number 1
loop_
_symmetry_equiv_pos_as_xyz
'x,y,z'
loop_
_atom_site_label
_atom_site_type_symbol
_atom_site_fract_x
_atom_site_fract_y
_atom_site_fract_z
K1 K 0.000 0.000 0.000
K2 K 0.250 0.250 0.250
Ca1 Ca 0.750 0.750 0.750
La1 La 0.500 0.500 0.500
```

Properties
DOS(E_F)   8.9 states/eV/cell
Offset from the most stable computed form   0.282 eV/atom
SG   No. 216
Total magnetic moment   0.42 μB per atom

---

KCaLa | PBE | relaxed

Cell and atoms, written as CIF:
```
data_KCaLa
_cell_length_a 3.889
_cell_length_b 3.889
_cell_length_c 10.475
_cell_angle_alpha 90.00
_cell_angle_beta 90.00
_cell_angle_gamma 120.00
_symmetry_space_group_name_H-M 'P 1'
_symmetry_Int_Tables_number 1
loop_
_symmetry_equiv_pos_as_xyz
'x,y,z'
loop_
_atom_site_label
_atom_site_type_symbol
_atom_site_fract_x
_atom_site_fract_y
_atom_site_fract_z
K1 K 0.000 0.000 0.000
Ca1 Ca 0.333 0.667 0.643
La1 La 0.667 0.333 0.354
```

Properties
DOS(E_F)   4.3 states/eV/cell
Offset from the most stable computed form   0.000 eV/atom
SG   No. 156
Total magnetic moment   0.13 μB per atom

---

K2CaLa | PBE | relaxed

Cell and atoms, written as CIF:
```
data_K2CaLa
_cell_length_a 15.041
_cell_length_b 15.041
_cell_length_c 15.041
_cell_angle_alpha 14.94
_cell_angle_beta 14.94
_cell_angle_gamma 14.94
_symmetry_space_group_name_H-M 'P 1'
_symmetry_Int_Tables_number 1
loop_
_symmetry_equiv_pos_as_xyz
'x,y,z'
loop_
_atom_site_label
_atom_site_type_symbol
_atom_site_fract_x
_atom_site_fract_y
_atom_site_fract_z
K1 K 0.250 0.250 0.250
K2 K 0.750 0.750 0.750
Ca1 Ca 0.500 0.500 0.500
La1 La 0.000 0.000 0.000
```

Properties
DOS(E_F)   3.8 states/eV/cell
Offset from the most stable computed form   0.081 eV/atom
SG   No. 166
Total magnetic moment   0.00 μB per atom

---

KCaLa2 | PBE | relaxed

Cell and atoms, written as CIF:
```
data_KCaLa2
_cell_length_a 6.237
_cell_length_b 6.237
_cell_length_c 6.237
_cell_angle_alpha 60.00
_cell_angle_beta 60.00
_cell_angle_gamma 60.00
_symmetry_space_group_name_H-M 'P 1'
_symmetry_Int_Tables_number 1
loop_
_symmetry_equiv_pos_as_xyz
'x,y,z'
loop_
_atom_site_label
_atom_site_type_symbol
_atom_site_fract_x
_atom_site_fract_y
_atom_site_fract_z
K1 K 0.000 0.000 0.000
Ca1 Ca 0.500 0.500 0.500
La1 La 0.250 0.250 0.250
La2 La 0.750 0.750 0.750
```

Properties
DOS(E_F)   8.1 states/eV/cell
Offset from the most stable computed form   0.300 eV/atom
SG   No. 225
Total magnetic moment   0.00 μB per atom

---

KCaLa2 | PBE | relaxed

Cell and atoms, written as CIF:
```
data_KCaLa2
_cell_length_a 6.234
_cell_length_b 6.234
_cell_length_c 6.234
_cell_angle_alpha 60.00
_cell_angle_beta 60.00
_cell_angle_gamma 60.00
_symmetry_space_group_name_H-M 'P 1'
_symmetry_Int_Tables_number 1
loop_
_symmetry_equiv_pos_as_xyz
'x,y,z'
loop_
_atom_site_label
_atom_site_type_symbol
_atom_site_fract_x
_atom_site_fract_y
_atom_site_fract_z
K1 K 0.000 0.000 0.000
Ca1 Ca 0.250 0.250 0.250
La1 La 0.500 0.500 0.500
La2 La 0.750 0.750 0.750
```

Properties
DOS(E_F)   6.8 states/eV/cell
Offset from the most stable computed form   0.267 eV/atom
SG   No. 216
Total magnetic moment   0.00 μB per atom

---

KCaLa2 | PBE | relaxed

Cell and atoms, written as CIF:
```
data_KCaLa2
_cell_length_a 3.650
_cell_length_b 3.650
_cell_length_c 12.990
_cell_angle_alpha 90.00
_cell_angle_beta 90.00
_cell_angle_gamma 90.00
_symmetry_space_group_name_H-M 'P 1'
_symmetry_Int_Tables_number 1
loop_
_symmetry_equiv_pos_as_xyz
'x,y,z'
loop_
_atom_site_label
_atom_site_type_symbol
_atom_site_fract_x
_atom_site_fract_y
_atom_site_fract_z
K1 K 0.000 0.000 0.000
Ca1 Ca 0.000 0.000 0.500
La1 La 0.500 0.500 0.275
La2 La 0.500 0.500 0.725
```

Properties
DOS(E_F)   7.1 states/eV/cell
Offset from the most stable computed form   0.148 eV/atom
SG   No. 123
Total magnetic moment   0.00 μB per atom

---

KCaLa2 | PBE | relaxed

Cell and atoms, written as CIF:
```
data_KCaLa2
_cell_length_a 3.824
_cell_length_b 3.824
_cell_length_c 12.143
_cell_angle_alpha 90.00
_cell_angle_beta 90.00
_cell_angle_gamma 90.00
_symmetry_space_group_name_H-M 'P 1'
_symmetry_Int_Tables_number 1
loop_
_symmetry_equiv_pos_as_xyz
'x,y,z'
loop_
_atom_site_label
_atom_site_type_symbol
_atom_site_fract_x
_atom_site_fract_y
_atom_site_fract_z
K1 K 0.000 0.000 0.000
Ca1 Ca 0.500 0.500 0.711
La1 La 0.000 0.000 0.487
La2 La 0.500 0.500 0.285
```

Properties
DOS(E_F)   5.9 states/eV/cell
Offset from the most stable computed form   0.000 eV/atom
SG   No. 99
Total magnetic moment   0.00 μB per atom

---

K2CaLa | PBE | relaxed

Cell and atoms, written as CIF:
```
data_K2CaLa
_cell_length_a 3.769
_cell_length_b 3.769
_cell_length_c 14.062
_cell_angle_alpha 90.00
_cell_angle_beta 90.00
_cell_angle_gamma 90.00
_symmetry_space_group_name_H-M 'P 1'
_symmetry_Int_Tables_number 1
loop_
_symmetry_equiv_pos_as_xyz
'x,y,z'
loop_
_atom_site_label
_atom_site_type_symbol
_atom_site_fract_x
_atom_site_fract_y
_atom_site_fract_z
K1 K 0.000 0.000 0.249
K2 K 0.000 0.000 0.751
Ca1 Ca 0.500 0.500 0.000
La1 La 0.500 0.500 0.500
```

Properties
DOS(E_F)   4.5 states/eV/cell
Offset from the most stable computed form   0.161 eV/atom
SG   No. 123
Total magnetic moment   0.00 μB per atom

---

KCaLa2 | PBE | relaxed

Cell and atoms, written as CIF:
```
data_KCaLa2
_cell_length_a 5.242
_cell_length_b 5.242
_cell_length_c 6.243
_cell_angle_alpha 90.00
_cell_angle_beta 90.00
_cell_angle_gamma 90.00
_symmetry_space_group_name_H-M 'P 1'
_symmetry_Int_Tables_number 1
loop_
_symmetry_equiv_pos_as_xyz
'x,y,z'
loop_
_atom_site_label
_atom_site_type_symbol
_atom_site_fract_x
_atom_site_fract_y
_atom_site_fract_z
K1 K 0.000 0.000 0.000
Ca1 Ca 0.500 0.500 0.000
La1 La 0.000 0.500 0.500
La2 La 0.500 0.000 0.500
```

Properties
DOS(E_F)   6.9 states/eV/cell
Offset from the most stable computed form   0.250 eV/atom
SG   No. 123
Total magnetic moment   0.00 μB per atom